# NaCoPd2

Crystalline NaCoPd2 at its relaxed geometry (PBEsol, Alexandria).

Unit cell a=3.8448 b=3.8448 c=9.1065 alpha=102.19 beta=102.19 gamma=90.00
With the nearest neighbours (Å) after each atom.
Element x y z (fractional)
Na 0.7500 0.2500 0.5000  4 Pd 2.59, 4 Co 2.72
Na 0.5000 0.5000 0.0000  4 Pd 2.59, 4 Co 2.72
Pd 0.6250 0.6415 0.7500  2 Co 2.54, 2 Na 2.59, 4 Pd 2.63-2.81
Pd 0.1250 0.1085 0.7500  2 Co 2.54, 2 Na 2.59, 4 Pd 2.63-2.81
Pd 0.3585 0.8750 0.2500  2 Co 2.54, 2 Na 2.59, 4 Pd 2.63-2.81
Pd 0.8915 0.3750 0.2500  2 Co 2.54, 2 Na 2.59, 4 Pd 2.63-2.81
Co 0.0000 0.0000 0.0000  4 Pd 2.54, 4 Na 2.72
Co 0.2500 0.7500 0.5000  4 Pd 2.54, 4 Na 2.72

* calculated formation energy: 0.66 eV per atom
* crystal system: tetragonal

=====

# NaCoRe2

Crystalline NaCoRe2 at its relaxed geometry (PBEsol, Alexandria).

Unit cell a=4.2454 b=4.2454 c=4.2454 alpha=60.00 beta=60.00 gamma=60.00
With the nearest neighbours (Å) after each atom.
Element x y z (fractional)
Na 0.0000 0.0000 0.0000  8 Re 2.60
Co 0.5000 0.5000 0.5000  8 Re 2.60
Re 0.2500 0.2500 0.2500  4 Na 2.60, 4 Co 2.60
Re 0.7500 0.7500 0.7500  4 Co 2.60, 4 Na 2.60

* calculated formation energy: 1.29 eV per atom
* crystal system: cubic

=====

# NaCoRe3

Crystalline NaCoRe3 at its relaxed geometry (PBEsol, Alexandria).

Unit cell a=4.4299 b=4.4299 c=4.4299 alpha=90.00 beta=90.00 gamma=90.00
With the nearest neighbours (Å) after each atom.
Element x y z (fractional)
Co 0.0000 0.0000 0.0000  6 Re 2.21
Re 0.5000 0.0000 0.0000  2 Co 2.21
Re 0.0000 0.0000 0.5000  2 Co 2.21
Re 0.0000 0.5000 0.0000  2 Co 2.21
Na 0.5000 0.5000 0.5000  12 Re 3.13

* calculated formation energy: 1.86 eV per atom
* crystal system: cubic

=====

# NaCoReW2

Crystalline NaCoReW2 at its relaxed geometry (PBEsol, Alexandria).

Unit cell a=4.1816 b=4.4294 c=4.4294 alpha=90.00 beta=90.00 gamma=90.00
With the nearest neighbours (Å) after each atom.
Element x y z (fractional)
W 0.0000 0.5000 0.0000  2 Co 2.21
W 0.0000 0.0000 0.5000  2 Co 2.21
Re 0.5000 0.5000 0.5000  8 W 3.05, 4 Na 3.13
Co 0.0000 0.0000 0.0000  2 Na 2.09, 4 W 2.21
Na 0.5000 0.0000 0.0000  2 Co 2.09

* calculated formation energy: 1.86 eV per atom
* crystal system: tetragonal

=====

# NaCoRh3

Crystalline NaCoRh3 at its relaxed geometry (PBEsol, Alexandria).

Unit cell a=4.4478 b=4.4478 c=4.4478 alpha=90.00 beta=90.00 gamma=90.00
With the nearest neighbours (Å) after each atom.
Element x y z (fractional)
Co 0.0000 0.0000 0.0000  6 Rh 2.22
Rh 0.5000 0.0000 0.0000  2 Co 2.22
Rh 0.0000 0.5000 0.0000  2 Co 2.22
Rh 0.0000 0.0000 0.5000  2 Co 2.22
Na 0.5000 0.5000 0.5000  12 Rh 3.15

* calculated formation energy: 1.00 eV per atom
* crystal system: cubic

=====

# NaTa2CoRh

Crystalline NaTa2CoRh at its relaxed geometry (PBEsol, Alexandria).

Unit cell a=4.2659 b=4.5280 c=4.5280 alpha=90.00 beta=90.00 gamma=90.00
With the nearest neighbours (Å) after each atom.
Element x y z (fractional)
Co 0.5000 0.5000 0.5000  8 Ta 3.11, 4 Rh 3.20
Ta 0.0000 0.5000 0.0000  2 Na 2.26
Ta 0.0000 0.0000 0.5000  2 Na 2.26
Na 0.0000 0.0000 0.0000  2 Rh 2.13, 4 Ta 2.26
Rh 0.5000 0.0000 0.0000  2 Na 2.13

* calculated formation energy: 2.42 eV per atom
* crystal system: tetragonal

=====

# Na2TaCoS

Crystalline Na2TaCoS at its relaxed geometry (PBEsol, Alexandria).

Unit cell a=4.0422 b=5.1286 c=5.1286 alpha=90.00 beta=90.00 gamma=90.00
With the nearest neighbours (Å) after each atom.
Element x y z (fractional)
Ta 0.5000 0.5000 0.5000  8 Na 3.27, 4 Co 3.63
Na 0.0000 0.0000 0.5000  2 S 2.56
Na 0.0000 0.5000 0.0000  2 S 2.56
S 0.0000 0.0000 0.0000  2 Co 2.02
Co 0.5000 0.0000 0.0000  2 S 2.02

* crystal system: tetragonal

=====

# NaCoSb2W

Crystalline NaCoSb2W at its relaxed geometry (PBEsol, Alexandria).

Unit cell a=4.6375 b=4.8923 c=4.8923 alpha=90.00 beta=90.00 gamma=90.00
With the nearest neighbours (Å) after each atom.
Element x y z (fractional)
Sb 0.0000 0.0000 0.5000  2 Co 2.45
Sb 0.0000 0.5000 0.0000  2 Co 2.45
Na 0.5000 0.5000 0.5000  8 Sb 3.37, 4 W 3.46
Co 0.0000 0.0000 0.0000  2 W 2.32, 4 Sb 2.45
W 0.5000 0.0000 0.0000  2 Co 2.32

* crystal system: tetragonal

=====

Number 1: total energy -36.82 eV for the cell shown. Number 2: total energy -30.65 eV for the cell shown. Number 3: total energy -39.85 eV for the cell shown. Number 4: total energy -40.80 eV for the cell shown. Number 5: total energy -28.56 eV for the cell shown. Number 6: total energy -30.29 eV for the cell shown. Number 7: total energy -22.53 eV for the cell shown. Number 8: total energy -27.59 eV for the cell shown.